No. 1
The following is a GGA-PBE calculation of a geometry-optimized ErMg3Ag2 structure, from Alexandria via LeMat-Bulk.

## Properties
**Energy relative to the elements**: -0.165 eV/atom
**Distance to the lowest polymorph of the same formula**: 40.6 meV/atom

a = 4.4346 Å, b = 9.2039 Å, c = 8.3295 Å
α = 123.50°, β = 90.00°, γ = 103.94°
Atoms (fractional coordinates):
1 Er 0.8815 0.7630 0.9114
2 Er 0.1185 0.2370 0.0886
3 Mg 0.3136 0.6272 0.5236
4 Mg 0.9515 0.9030 0.5933
5 Mg 0.6530 0.3061 0.8152
6 Mg 0.3470 0.6939 0.1848
7 Mg 0.0485 0.0970 0.4067
8 Mg 0.6864 0.3728 0.4764
9 Ag 0.4950 0.9900 0.8272
10 Ag 0.5050 0.0100 0.1728
11 Ag 0.7669 0.5338 0.2549
12 Ag 0.2331 0.4662 0.7451

No. 2
The following is a GGA-PBE calculation of a geometry-optimized Dy3Y2Er4 structure, from Alexandria via LeMat-Bulk.

## Properties
**Energy relative to the elements**: 0.021 eV/atom
**Distance to the lowest polymorph of the same formula**: 0.0 meV/atom

a = 4.9901 Å, b = 7.9000 Å, c = 14.5952 Å
α = 144.46°, β = 90.00°, γ = 108.41°
Atoms (fractional coordinates):
1 Dy 0.5552 0.1103 0.6673
2 Dy 0.0000 0.0000 0.0000
3 Dy 0.4448 0.8897 0.3327
4 Y 0.7763 0.5526 0.3322
5 Y 0.2237 0.4474 0.6678
6 Er 0.6679 0.3358 0.0006
7 Er 0.3321 0.6642 0.9994
8 Er 0.8900 0.7799 0.6675
9 Er 0.1100 0.2201 0.3325

No. 3
The following is a GGA-PBE calculation of a geometry-optimized AcPdI structure, from Alexandria via LeMat-Bulk.

## Properties
**Formation energy (no corrections)**: -1.145 eV per atom
**Distance to the lowest polymorph of the same formula**: 0.0 meV/atom

a = 4.6021 Å, b = 4.6021 Å, c = 12.6472 Å
α = 79.52°, β = 79.52°, γ = 60.00°
Atoms (fractional coordinates):
1 Ac 0.4471 0.4471 0.6588
2 Ac 0.5529 0.5529 0.3412
3 Pd 0.1591 0.1591 0.5227
4 Pd 0.8409 0.8409 0.4773
5 I 0.7206 0.7206 0.8383
6 I 0.2794 0.2794 0.1617

No. 4
The following is a GGA-PBE calculation of a geometry-optimized ErURh4 structure, from Alexandria via LeMat-Bulk.

## Properties
**Energy relative to the elements**: -0.565 eV/atom

a = 5.3087 Å, b = 5.3087 Å, c = 5.3087 Å
α = 60.00°, β = 60.00°, γ = 60.00°
Site moments in Bohr magnetons follow the coordinates.
Atoms (fractional coordinates):
1 Rh 0.6251 0.6251 0.1246  0.10
2 Rh 0.6251 0.1246 0.6251  0.10
3 Rh 0.6251 0.6251 0.6251  0.10
4 Rh 0.1246 0.6251 0.6251  0.10
5 U 0.2500 0.2500 0.2500  -2.00
6 Er 0.0000 0.0000 0.0000  -0.17

No. 5
The following is a GGA-PBE calculation of a geometry-optimized RbIrCl5 structure, from Alexandria via LeMat-Bulk.

## Properties
**Formation energy (no corrections)**: -0.817 eV per atom

a = 7.8026 Å, b = 7.8026 Å, c = 9.9954 Å
α = 83.35°, β = 120.46°, γ = 119.92°
Site moments in Bohr magnetons follow the coordinates.
Atoms (fractional coordinates):
1 Rb 0.7648 0.5148 0.2500  0.00
2 Rb 0.2352 0.4852 0.7500  0.00
3 Ir 0.0000 0.0000 0.0000  0.62
4 Ir 0.5000 0.0000 0.5000  0.62
5 Cl 0.7690 0.9274 0.1057  0.07
6 Cl 0.1923 0.9185 0.5312  0.07
7 Cl 0.6782 0.3366 0.6057  0.07
8 Cl 0.3466 0.0966 0.2500  0.01
9 Cl 0.8874 0.6611 0.9688  0.07
10 Cl 0.1126 0.3389 0.0312  0.07
11 Cl 0.6534 0.9034 0.7500  0.01
12 Cl 0.3218 0.6634 0.3943  0.07
13 Cl 0.8077 0.0815 0.4688  0.07
14 Cl 0.2310 0.0726 0.8943  0.07

No. 6
The following is a GGA-PBE calculation of a geometry-optimized TiNbTc2Os structure, from Alexandria via LeMat-Bulk.

## Properties
**Energy relative to the elements**: 1.235 eV/atom

a = 4.6757 Å, b = 4.5859 Å, c = 4.6757 Å
α = 90.00°, β = 90.00°, γ = 90.00°
Site moments in Bohr magnetons follow the coordinates.
Atoms (fractional coordinates):
1 Nb 0.5000 0.5000 0.5000  0.69
2 Os 0.0000 0.0000 0.0000  0.01
3 Tc 0.0000 0.0000 0.5000  -0.19
4 Tc 0.5000 0.0000 0.0000  -0.10
5 Ti 0.0000 0.5000 0.0000  0.20

No. 7
The following is a GGA-PBE calculation of a geometry-optimized ErGa12Ir6 structure, from Alexandria via LeMat-Bulk.

## Properties
**Energy relative to the elements**: -0.391 eV/atom

a = 7.2012 Å, b = 7.2012 Å, c = 7.2012 Å
α = 105.21°, β = 105.21°, γ = 105.21°
Atoms (fractional coordinates):
1 Er 0.0000 0.0000 0.0000
2 Ga 0.8861 0.1139 0.5000
3 Ga 0.8713 0.6000 0.6000
4 Ga 0.6000 0.6000 0.8713
5 Ga 0.4000 0.1287 0.4000
6 Ga 0.4000 0.4000 0.1287
7 Ga 0.1287 0.4000 0.4000
8 Ga 0.1139 0.5000 0.8861
9 Ga 0.5000 0.8861 0.1139
10 Ga 0.1139 0.8861 0.5000
11 Ga 0.8861 0.5000 0.1139
12 Ga 0.5000 0.1139 0.8861
13 Ga 0.6000 0.8713 0.6000
14 Ir 0.6973 0.2759 0.2759
15 Ir 0.2759 0.2759 0.6973
16 Ir 0.2759 0.6973 0.2759
17 Ir 0.7241 0.7241 0.3027
18 Ir 0.3027 0.7241 0.7241
19 Ir 0.7241 0.3027 0.7241

No. 8
The following is a GGA-PBE calculation of a geometry-optimized CePaCo10 structure, from Alexandria via LeMat-Bulk.

## Properties
**Energy relative to the elements**: -0.149 eV/atom

a = 4.0331 Å, b = 4.8427 Å, c = 8.3932 Å
α = 90.00°, β = 90.00°, γ = 90.00°
Site moments in Bohr magnetons follow the coordinates.
Atoms (fractional coordinates):
1 Ce 0.0000 0.0000 0.0000  -0.72
2 Pa 0.0000 0.5000 0.5000  -0.79
3 Co 0.0000 0.0000 0.3386  1.14
4 Co 0.0000 0.5000 0.8125  1.15
5 Co 0.0000 0.5000 0.1875  1.15
6 Co 0.0000 0.0000 0.6614  1.14
7 Co 0.5000 0.0000 0.5000  1.37
8 Co 0.5000 0.5000 0.0000  1.45
9 Co 0.5000 0.2490 0.2508  1.39
10 Co 0.5000 0.7510 0.7492  1.39
11 Co 0.5000 0.7510 0.2508  1.39
12 Co 0.5000 0.2490 0.7492  1.39

No. 9
The following is a GGA-PBE calculation of a geometry-optimized NdY6Tm3 structure, from Alexandria via LeMat-Bulk.

## Properties
**Energy relative to the elements**: 0.118 eV/atom
**Distance to the lowest polymorph of the same formula**: 0.0 meV/atom

a = 6.3946 Å, b = 11.5018 Å, c = 11.5018 Å
α = 130.35°, β = 90.00°, γ = 90.00°
Atoms (fractional coordinates):
1 Nd 0.0116 0.1620 0.8380
2 Nd 0.5116 0.8380 0.1620
3 Y 0.0728 0.7379 0.6213
4 Y 0.5728 0.6213 0.7379
5 Y 0.3291 0.4579 0.8949
6 Y 0.8291 0.8949 0.4579
7 Y 0.3122 0.9846 0.0154
8 Y 0.7868 0.3011 0.6989
9 Y 0.2868 0.6989 0.3011
10 Y 0.8122 0.0154 0.9846
11 Y 0.3291 0.1051 0.5421
12 Y 0.8291 0.5421 0.1051
13 Y 0.0728 0.3787 0.2621
14 Y 0.5728 0.2621 0.3787
15 Tm 0.4864 0.9564 0.7044
16 Tm 0.9864 0.7044 0.9564
17 Tm 0.0981 0.4174 0.5826
18 Tm 0.5981 0.5826 0.4174
19 Tm 0.9864 0.0436 0.2956
20 Tm 0.4864 0.2956 0.0436

No. 10
The following is a GGA-PBE calculation of a geometry-optimized LiPrSiHg structure, from Alexandria via LeMat-Bulk.

## Properties
**Formation energy (no corrections)**: -0.367 eV per atom

a = 5.0541 Å, b = 5.0541 Å, c = 5.0541 Å
α = 60.00°, β = 60.00°, γ = 60.00°
Atoms (fractional coordinates):
1 Pr 0.5000 0.5000 0.5000
2 Si 0.7500 0.7500 0.7500
3 Hg 0.2500 0.2500 0.2500
4 Li 0.0000 0.0000 0.0000

No. 11
The following is a GGA-PBE calculation of a geometry-optimized Mn2AsOs structure, from Alexandria via LeMat-Bulk.

## Properties
**Energy relative to the elements**: 0.156 eV/atom

a = 4.4267 Å, b = 4.4267 Å, c = 4.5639 Å
α = 81.30°, β = 81.30°, γ = 37.90°
Site moments in Bohr magnetons follow the coordinates.
Atoms (fractional coordinates):
1 As 0.2536 0.2536 0.2224  -0.06
2 Mn 0.0032 0.0032 0.0020  2.38
3 Mn 0.7507 0.7507 0.7484  2.20
4 Os 0.4925 0.4925 0.5271  -0.06

No. 12
The following is a GGA-PBE calculation of a geometry-optimized CaV3Si structure, from Alexandria via LeMat-Bulk.

## Properties
**Formation energy (no corrections)**: 0.686 eV per atom
**Distance to the lowest polymorph of the same formula**: 0.0 meV/atom

a = 4.5963 Å, b = 4.5963 Å, c = 4.5963 Å
α = 90.00°, β = 90.00°, γ = 90.00°
Site moments in Bohr magnetons follow the coordinates.
Atoms (fractional coordinates):
1 Ca 0.5000 0.5000 0.5000  0.03
2 Si 0.0000 0.0000 0.0000  -0.02
3 V 0.0000 0.5000 0.0000  0.55
4 V 0.0000 0.0000 0.5000  0.55
5 V 0.5000 0.0000 0.0000  0.55

No. 13
The following is a GGA-PBE calculation of a geometry-optimized Ho2Tm2Pd structure, from Alexandria via LeMat-Bulk.

## Properties
**Energy relative to the elements**: -0.264 eV/atom

a = 7.5375 Å, b = 6.9930 Å, c = 7.7048 Å
α = 73.29°, β = 57.77°, γ = 57.39°
Atoms (fractional coordinates):
1 Ho 0.5608 0.4314 0.7509
2 Ho 0.4392 0.5686 0.2491
3 Ho 0.9922 0.5686 0.7509
4 Ho 0.0078 0.4314 0.2491
5 Tm 0.8578 0.0000 0.3899
6 Tm 0.6235 0.0000 0.1177
7 Tm 0.3765 0.0000 0.8823
8 Tm 0.1422 0.0000 0.6101
9 Pd 0.1199 0.7603 0.0000
10 Pd 0.8801 0.2397 0.0000

No. 14
The following is a GGA-PBE calculation of a geometry-optimized ScTa2 structure, from Alexandria via LeMat-Bulk.

## Properties
**Energy relative to the elements**: 0.200 eV/atom
**Distance to the lowest polymorph of the same formula**: 43.7 meV/atom

a = 5.6218 Å, b = 5.6218 Å, c = 8.9983 Å
α = 90.00°, β = 90.00°, γ = 120.00°
Atoms (fractional coordinates):
1 Sc 0.3333 0.6667 0.0624
2 Sc 0.3333 0.6667 0.4376
3 Sc 0.6667 0.3333 0.5624
4 Sc 0.6667 0.3333 0.9376
5 Ta 0.0000 0.0000 0.0000
6 Ta 0.0000 0.0000 0.5000
7 Ta 0.1694 0.3387 0.7500
8 Ta 0.1694 0.8306 0.7500
9 Ta 0.3387 0.1694 0.2500
10 Ta 0.6613 0.8306 0.7500
11 Ta 0.8306 0.1694 0.2500
12 Ta 0.8306 0.6613 0.2500

No. 15
The following is a GGA-PBE calculation of a geometry-optimized Zn2TcPt structure, from Alexandria via LeMat-Bulk.

## Properties
**Energy relative to the elements**: -0.128 eV/atom
**Distance to the lowest polymorph of the same formula**: 12.5 meV/atom

a = 2.7411 Å, b = 2.7411 Å, c = 7.7478 Å
α = 90.00°, β = 90.00°, γ = 90.17°
Site moments in Bohr magnetons follow the coordinates.
Atoms (fractional coordinates):
1 Pt 0.5000 0.5000 0.2500  0.00
2 Tc 0.5000 0.5000 0.7500  0.24
3 Zn 0.0000 0.0000 0.0061  0.00
4 Zn 0.0000 0.0000 0.4939  0.00

No. 16
The following is a GGA-PBE calculation of a geometry-optimized PmPd7Pb2 structure, from Alexandria via LeMat-Bulk.

## Properties
**Energy relative to the elements**: -0.105 eV/atom

a = 4.4369 Å, b = 7.9854 Å, c = 7.9854 Å
α = 124.74°, β = 90.00°, γ = 90.00°
Atoms (fractional coordinates):
1 Pm 0.0000 0.0000 0.0000
2 Pd 0.0000 0.8032 0.1968
3 Pd 0.0000 0.1968 0.8032
4 Pd 0.5000 0.0775 0.2851
5 Pd 0.5000 0.9225 0.7149
6 Pd 0.5000 0.2851 0.0775
7 Pd 0.5000 0.7149 0.9225
8 Pd 0.5000 0.5000 0.5000
9 Pb 0.5000 0.6962 0.3038
10 Pb 0.5000 0.3038 0.6962

No. 17
The following is a GGA-PBE calculation of a geometry-optimized RbTi3Te structure, from Alexandria via LeMat-Bulk.

## Properties
**Formation energy (no corrections)**: 1.916 eV per atom
**Distance to the lowest polymorph of the same formula**: 965.4 meV/atom

a = 4.7836 Å, b = 4.7836 Å, c = 4.7836 Å
α = 90.00°, β = 90.00°, γ = 90.00°
Site moments in Bohr magnetons follow the coordinates.
Atoms (fractional coordinates):
1 Te 0.5000 0.5000 0.5000  -0.01
2 Rb 0.0000 0.0000 0.0000  0.02
3 Ti 0.0000 0.5000 0.0000  0.25
4 Ti 0.0000 0.0000 0.5000  0.24
5 Ti 0.5000 0.0000 0.0000  0.26

No. 18
The following is a GGA-PBE calculation of a geometry-optimized AcAlTlCd structure, from Alexandria via LeMat-Bulk.

## Properties
**Energy relative to the elements**: -0.088 eV/atom

a = 5.4201 Å, b = 5.4201 Å, c = 5.4201 Å
α = 60.00°, β = 60.00°, γ = 60.00°
Atoms (fractional coordinates):
1 Ac 0.5000 0.5000 0.5000
2 Al 0.0000 0.0000 0.0000
3 Tl 0.2500 0.2500 0.2500
4 Cd 0.7500 0.7500 0.7500

No. 19
The following is a GGA-PBE calculation of a geometry-optimized Rb5Zn structure, from Alexandria via LeMat-Bulk.

## Properties
**Energy relative to the elements**: 0.097 eV/atom

a = 4.9500 Å, b = 7.5802 Å, c = 12.4415 Å
α = 107.74°, β = 90.00°, γ = 90.00°
Atoms (fractional coordinates):
1 Zn 0.0000 0.0000 0.0000
2 Rb 0.0000 0.6885 0.3770
3 Rb 0.0000 0.3115 0.6230
4 Rb 0.5000 0.5000 0.0000
5 Rb 0.5000 0.1180 0.2361
6 Rb 0.5000 0.8820 0.7639

No. 20
The following is a GGA-PBE calculation of a geometry-optimized VP3Rh structure, from Alexandria via LeMat-Bulk.

## Properties
**Energy relative to the elements**: 0.787 eV/atom
**Distance to the lowest polymorph of the same formula**: 258.1 meV/atom

a = 4.5741 Å, b = 4.5741 Å, c = 4.5741 Å
α = 90.00°, β = 90.00°, γ = 90.00°
Site moments in Bohr magnetons follow the coordinates.
Atoms (fractional coordinates):
1 P 0.0000 0.5000 0.0000  -0.05
2 P 0.0000 0.0000 0.5000  -0.05
3 P 0.5000 0.0000 0.0000  -0.05
4 Rh 0.0000 0.0000 0.0000  0.06
5 V 0.5000 0.5000 0.5000  2.73

No. 21
The following is a GGA-PBE calculation of a geometry-optimized K4LiU3Te8 structure, from Alexandria via LeMat-Bulk.

## Properties
**Formation energy (no corrections)**: -0.897 eV per atom

a = 9.0525 Å, b = 9.6995 Å, c = 9.0539 Å
α = 117.83°, β = 119.99°, γ = 90.00°
Site moments in Bohr magnetons follow the coordinates.
Atoms (fractional coordinates):
1 K 0.5000 0.0000 0.0000  0.00
2 K 0.5000 0.0000 0.5000  0.00
3 K 0.0000 0.0000 0.0000  0.00
4 K 0.0000 0.0000 0.5000  0.00
5 Li 0.0000 0.5000 0.0000  0.00
6 U 0.5000 0.5000 0.0000  2.43
7 U 0.5000 0.5000 0.5000  2.43
8 U 0.0000 0.5000 0.5000  2.43
9 Te 0.2369 0.7041 0.9672  -0.07
10 Te 0.2370 0.7043 0.4740  -0.07
11 Te 0.2630 0.2890 0.5260  -0.06
12 Te 0.7304 0.7041 0.9672  -0.07
13 Te 0.2696 0.2959 0.0328  -0.07
14 Te 0.7370 0.7110 0.4740  -0.06
15 Te 0.7630 0.2957 0.5260  -0.07
16 Te 0.7631 0.2959 0.0328  -0.07

No. 22
The following is a GGA-PBE calculation of a geometry-optimized PaAl5Cu3 structure, from Alexandria via LeMat-Bulk.

## Properties
**Energy relative to the elements**: -0.137 eV/atom

a = 3.8731 Å, b = 6.6124 Å, c = 12.2924 Å
α = 90.00°, β = 90.00°, γ = 107.03°
Site moments in Bohr magnetons follow the coordinates.
Atoms (fractional coordinates):
1 Pa 0.8424 0.6849 0.7500  0.82
2 Pa 0.1576 0.3151 0.2500  0.82
3 Al 0.8009 0.6019 0.4356  0.00
4 Al 0.1991 0.3981 0.9356  0.00
5 Al 0.0000 0.0000 0.5000  0.00
6 Al 0.0000 0.0000 0.0000  0.00
7 Al 0.4436 0.8873 0.1480  0.00
8 Al 0.5564 0.1127 0.8520  0.00
9 Al 0.5564 0.1127 0.6480  0.00
10 Al 0.8009 0.6019 0.0644  0.00
11 Al 0.1991 0.3981 0.5644  0.00
12 Al 0.4436 0.8873 0.3520  0.00
13 Cu 0.3863 0.7725 0.9466  0.00
14 Cu 0.8666 0.7333 0.2500  0.00
15 Cu 0.3863 0.7725 0.5534  0.00
16 Cu 0.6137 0.2275 0.4466  0.00
17 Cu 0.1334 0.2667 0.7500  0.00
18 Cu 0.6137 0.2275 0.0534  0.00

No. 23
The following is a GGA-PBE calculation of a geometry-optimized MgP2PtCl structure, from Alexandria via LeMat-Bulk.

## Properties
**Formation energy (no corrections)**: 0.836 eV per atom
**Distance to the lowest polymorph of the same formula**: 551.6 meV/atom

a = 4.8530 Å, b = 4.8530 Å, c = 4.4874 Å
α = 90.00°, β = 90.00°, γ = 90.00°
Atoms (fractional coordinates):
1 P 0.0000 0.5000 0.0000
2 P 0.5000 0.0000 0.0000
3 Mg 0.0000 0.0000 0.0000
4 Pt 0.5000 0.5000 0.5000
5 Cl 0.0000 0.0000 0.5000

| no. | M_tot (μB/f.u.) | total energy (eV per cell) |
| --- | --- | --- |
| 1 | 0.00 | -32.074 |
| 2 | 0.00 | -44.794 |
| 3 | 0.00 | -28.575 |
| 4 | 1.99 | -48.645 |
| 5 | 1.07 | -49.555 |
| 6 | 0.80 | -43.751 |
| 7 | 0.00 | -101.474 |
| 8 | 10.76 | -88.272 |
| 9 | 0.00 | -111.577 |
| 10 | 0.00 | -13.887 |
| 11 | 4.58 | -33.594 |
| 12 | 1.97 | -31.348 |
| 13 | 0.00 | -49.218 |
| 14 | 0.00 | -117.745 |
| 15 | 0.25 | -19.467 |
| 16 | 0.00 | -49.567 |
| 17 | 0.97 | -18.212 |
| 18 | 0.00 | -11.483 |
| 19 | 0.00 | -5.531 |
| 20 | 3.00 | -28.767 |
| 21 | 7.00 | -79.657 |
| 22 | 0.95 | -83.469 |
| 23 | 0.00 | -16.120 |